Entry 1:
VASP calculation (meta-GGA SCAN) on ZrCuRe2 at its PBEsol-relaxed geometry.

Cell lengths 2.7832, 2.7832, 9.3892 Å; angles 81.48, 81.48, 60.00 degrees
Element x y z (fractional)
Cu1 0.2553 0.2553 0.2341
Re1 0.0002 0.0002 0.9994
Re2 0.7423 0.7423 0.7731
Zr1 0.5022 0.5022 0.4934

* size of the total moment: 0.000 μB/atom
* energy of formation: 0.91 eV per formula unit

=====

Entry 2:
VASP calculation (meta-GGA SCAN) on Bi3RhBr at its PBEsol-relaxed geometry.

Cell lengths 5.2833, 5.2833, 5.2833 Å; angles 90.00, 90.00, 90.00 degrees
Element x y z (fractional)
Rh1 0.0000 0.0000 0.0000
Bi1 0.0000 0.5000 0.0000
Bi2 0.0000 0.0000 0.5000
Bi3 0.5000 0.0000 0.0000
Br1 0.5000 0.5000 0.5000

* formation energy from raw total energies: 0.278 eV/atom
* size of the total moment: 0.000 μB/atom